VASP calculation (GGA-PBE) on a relaxed structure of Na3YSb2S6.

## Properties
Density of states at the Fermi level = 0.00 states/eV/cell
Crystal system = monoclinic
Size of the total moment = 0.00 μB/cell
Uncorrected energy = -0.3434 Ry/atom
Formation energy without anion corrections = -1052.4 meV/atom

Unit cell a=6.9284 b=6.9284 c=7.0905 alpha=99.36 beta=99.36 gamma=120.01
Atoms (fractional coordinates):
Na 0.0000 0.0000 0.0000
Na 0.3295 0.6705 0.0000
Na 0.6705 0.3295 0.0000
Y 0.5000 0.5000 0.5000
Sb 0.1662 0.8338 0.5000
Sb 0.8338 0.1662 0.5000
S 0.0923 0.4240 0.2717
S 0.2445 0.2445 0.7292
S 0.4240 0.0923 0.2717
S 0.5760 0.9077 0.7283
S 0.7555 0.7555 0.2708
S 0.9077 0.5760 0.7283


VASP calculation (GGA-PBE) on a relaxed structure of Na4Y3SbS8.

## Properties
Density of states at the Fermi level = 0.00 states/eV/cell
Crystal system = trigonal
Size of the total moment = 0.00 μB/cell
Uncorrected energy = -0.3981 Ry/atom
Formation energy without anion corrections = -1553.2 meV/atom

Unit cell a=8.1204 b=8.1204 c=8.1204 alpha=58.97 beta=58.97 gamma=58.97
Atoms (fractional coordinates):
Na 0.0000 0.0000 0.0000
Na 0.0000 0.5000 0.5000
Na 0.5000 0.0000 0.5000
Na 0.5000 0.5000 0.0000
Y 0.0000 0.0000 0.5000
Y 0.0000 0.5000 0.0000
Y 0.5000 0.0000 0.0000
Sb 0.5000 0.5000 0.5000
S 0.2423 0.2423 0.2423
S 0.2416 0.7428 0.7428
S 0.2572 0.2572 0.7584
S 0.2572 0.7584 0.2572
S 0.7428 0.2416 0.7428
S 0.7428 0.7428 0.2416
S 0.7584 0.2572 0.2572
S 0.7577 0.7577 0.7577


VASP calculation (GGA-PBE) on a relaxed structure of NaZnSbS3.

## Properties
Density of states at the Fermi level = 0.00 states/eV/cell
Crystal system = monoclinic
Size of the total moment = 0.00 μB/cell
Uncorrected energy = -0.2832 Ry/atom
Formation energy without anion corrections = -669.5 meV/atom

Unit cell a=8.0294 b=3.8990 c=10.4518 alpha=90.00 beta=98.20 gamma=90.00
Atoms (fractional coordinates):
Na 0.2419 0.2500 0.2428
Na 0.7581 0.7500 0.7572
Zn 0.3952 0.7500 0.9091
Zn 0.6048 0.2500 0.0909
Sb 0.1506 0.2500 0.6382
Sb 0.8494 0.7500 0.3618
S 0.1165 0.7500 0.8073
S 0.1549 0.7500 0.4299
S 0.4506 0.7500 0.1402
S 0.5494 0.2500 0.8598
S 0.8451 0.2500 0.5701
S 0.8835 0.2500 0.1927


VASP calculation (GGA-PBE) on a relaxed structure of Na2ZnSbS4.

## Properties
Density of states at the Fermi level = 5.95 states/eV/cell
Crystal system = tetragonal
Size of the total moment = 1.88 μB/cell
Uncorrected energy = -0.2731 Ry/atom
Formation energy without anion corrections = -647.4 meV/atom

Unit cell a=6.4225 b=6.4225 c=10.3054 alpha=90.00 beta=90.00 gamma=90.00
Atoms (fractional coordinates):
Na 0.0000 0.0000 0.0000
Na 0.0000 0.5000 0.2500
Na 0.5000 0.0000 0.7500
Na 0.5000 0.5000 0.5000
Zn 0.0000 0.5000 0.7500
Zn 0.5000 0.0000 0.2500
Sb 0.0000 0.0000 0.5000
Sb 0.5000 0.5000 0.0000
S 0.2044 0.7412 0.6328
S 0.2412 0.2956 0.8672
S 0.2588 0.2044 0.3672
S 0.2956 0.7588 0.1328
S 0.7044 0.2412 0.1328
S 0.7412 0.7956 0.3672
S 0.7588 0.7044 0.8672
S 0.7956 0.2588 0.6328


VASP calculation (GGA-PBE) on a relaxed structure of Na2ZrSbS4.

## Properties
Density of states at the Fermi level = 3.12 states/eV/cell
Crystal system = monoclinic
Size of the total moment = 0.73 μB/cell
Uncorrected energy = -0.3672 Ry/atom
Formation energy without anion corrections = -1018.6 meV/atom

Unit cell a=6.9314 b=3.8053 c=7.0019 alpha=90.00 beta=108.00 gamma=90.00
Atoms (fractional coordinates):
Na 0.0000 0.0000 0.0000
Na 0.5000 0.5000 0.0000
Zr 0.0000 0.5000 0.5000
Sb 0.5000 0.0000 0.5000
S 0.2350 0.0000 0.7199
S 0.2447 0.5000 0.2752
S 0.7553 0.5000 0.7248
S 0.7650 0.0000 0.2801


VASP calculation (GGA-PBE) on a relaxed structure of NaScS2.

## Properties
Density of states at the Fermi level = 0.00 states/eV/cell
Crystal system = orthorhombic
Size of the total moment = 0.00 μB/cell
Uncorrected energy = -0.3902 Ry/atom
Formation energy without anion corrections = -1332.5 meV/atom

Unit cell a=3.5810 b=20.4491 c=4.7810 alpha=90.00 beta=90.00 gamma=90.00
Atoms (fractional coordinates):
Na 0.0000 0.0502 0.2500
Na 0.0000 0.9498 0.7500
Na 0.5000 0.4498 0.7500
Na 0.5000 0.5502 0.2500
Sc 0.0000 0.3212 0.2500
Sc 0.0000 0.6788 0.7500
Sc 0.5000 0.1788 0.7500
Sc 0.5000 0.8212 0.2500
S 0.0000 0.0893 0.7500
S 0.0000 0.1997 0.2500
S 0.0000 0.8003 0.7500
S 0.0000 0.9107 0.2500
S 0.5000 0.3003 0.7500
S 0.5000 0.4107 0.2500
S 0.5000 0.5893 0.7500
S 0.5000 0.6997 0.2500


VASP calculation (GGA-PBE) on a relaxed structure of NaScS2.

## Properties
Density of states at the Fermi level = 0.00 states/eV/cell
Crystal system = tetragonal
Size of the total moment = 0.00 μB/cell
Uncorrected energy = -0.4062 Ry/atom
Formation energy without anion corrections = -1549.9 meV/atom

Unit cell a=6.3723 b=6.3723 c=10.6976 alpha=90.00 beta=90.00 gamma=90.00
Atoms (fractional coordinates):
Na 0.0000 0.0000 0.0000
Na 0.0000 0.5000 0.2500
Na 0.5000 0.0000 0.7500
Na 0.5000 0.5000 0.5000
Sc 0.0000 0.0000 0.5000
Sc 0.0000 0.5000 0.7500
Sc 0.5000 0.0000 0.2500
Sc 0.5000 0.5000 0.0000
S 0.2031 0.2500 0.6250
S 0.2500 0.7031 0.8750
S 0.2500 0.7969 0.3750
S 0.2969 0.2500 0.1250
S 0.7031 0.7500 0.1250
S 0.7500 0.2031 0.3750
S 0.7500 0.2969 0.8750
S 0.7969 0.7500 0.6250


VASP calculation (GGA-PBE) on a relaxed structure of NaScS2.

## Properties
Density of states at the Fermi level = 0.00 states/eV/cell
Crystal system = orthorhombic
Size of the total moment = 0.00 μB/cell
Uncorrected energy = -0.4092 Ry/atom
Formation energy without anion corrections = -1590.5 meV/atom

Unit cell a=6.9714 b=4.0533 c=12.7745 alpha=90.00 beta=90.00 gamma=90.00
Atoms (fractional coordinates):
Na 0.0953 0.2500 0.1408
Na 0.4047 0.7500 0.6408
Na 0.5953 0.2500 0.3592
Na 0.9047 0.7500 0.8592
Sc 0.0892 0.7500 0.3862
Sc 0.4108 0.2500 0.8862
Sc 0.5892 0.7500 0.1138
Sc 0.9108 0.2500 0.6138
S 0.1377 0.2500 0.7595
S 0.2077 0.2500 0.4840
S 0.2923 0.7500 0.9840
S 0.3623 0.7500 0.2595
S 0.6377 0.2500 0.7405
S 0.7077 0.2500 0.0160
S 0.7923 0.7500 0.5160
S 0.8623 0.7500 0.2405


Please write out number 6 again, unchanged.
VASP calculation (GGA-PBE) on a relaxed structure of NaScS2.

## Properties
Density of states at the Fermi level = 0.00 states/eV/cell
Crystal system = orthorhombic
Size of the total moment = 0.00 μB/cell
Uncorrected energy = -0.3902 Ry/atom
Formation energy without anion corrections = -1332.5 meV/atom

Unit cell a=3.5810 b=20.4491 c=4.7810 alpha=90.00 beta=90.00 gamma=90.00
Atoms (fractional coordinates):
Na 0.0000 0.0502 0.2500
Na 0.0000 0.9498 0.7500
Na 0.5000 0.4498 0.7500
Na 0.5000 0.5502 0.2500
Sc 0.0000 0.3212 0.2500
Sc 0.0000 0.6788 0.7500
Sc 0.5000 0.1788 0.7500
Sc 0.5000 0.8212 0.2500
S 0.0000 0.0893 0.7500
S 0.0000 0.1997 0.2500
S 0.0000 0.8003 0.7500
S 0.0000 0.9107 0.2500
S 0.5000 0.3003 0.7500
S 0.5000 0.4107 0.2500
S 0.5000 0.5893 0.7500
S 0.5000 0.6997 0.2500